Entry 1:
Here is a relaxed TaTeN2O crystal from Alexandria. Energies are from GGA-PBE.

## Properties
ρ: 8.6 g/cm3
spin magnetization: 0.00 μB/f.u.
uncorrected formation energy: -1.20 eV/f.u.
Fermi-level density of states: 0.5370 states/eV/atom

a b c (Å): 4.197 4.197 3.881
angles (deg): 90.00 90.00 90.00
Atoms (fractional coordinates):
N  0.500  0.000  0.000
N  0.000  0.500  0.000
Te  0.500  0.500  0.500
Ta  0.000  0.000  0.000
O  0.000  0.000  0.500



Entry 2:
Here is a relaxed TaTe2NO crystal from Alexandria. Energies are from GGA-PBE.

## Properties
ρ: 6.7 g/cm3
relative energy among the computed polymorphs: 0 meV per atom
spin magnetization: 1.47 μB/f.u.
uncorrected formation energy: 2.85 eV/f.u.
Fermi-level density of states: 1.0005 states/eV/atom

a b c (Å): 5.473 5.473 3.883
angles (deg): 90.00 90.00 90.00
Site moments in Bohr magnetons follow the coordinates.
Atoms (fractional coordinates):
N  0.000  0.000  0.500  -0.07
Ta  0.000  0.000  0.000  0.06
O  0.500  0.500  0.500  1.06
Te  0.000  0.500  0.000  0.06
Te  0.500  0.000  0.000  0.06



Entry 3:
Here is a relaxed TaTe2NO crystal from Alexandria. Energies are from GGA-PBE.

## Properties
ρ: 9.3 g/cm3
relative energy among the computed polymorphs: 558 meV per atom
spin magnetization: 0.00 μB/f.u.
uncorrected formation energy: 5.64 eV/f.u.
Fermi-level density of states: 0.9525 states/eV/atom

a b c (Å): 4.706 4.706 3.764
angles (deg): 90.00 90.00 90.00
Atoms (fractional coordinates):
Te  0.000  0.500  0.000
Te  0.500  0.000  0.000
Ta  0.500  0.500  0.500
N  0.000  0.000  0.500
O  0.000  0.000  0.000



Entry 4:
Here is a relaxed TaTeN2O crystal from Alexandria. Energies are from GGA-PBE.

## Properties
ρ: 6.5 g/cm3
spin magnetization: 0.68 μB/f.u.
uncorrected formation energy: 2.47 eV/f.u.
Fermi-level density of states: 0.7184 states/eV/atom

a b c (Å): 3.866 3.866 5.990
angles (deg): 90.00 90.00 90.00
Site moments in Bohr magnetons follow the coordinates.
Atoms (fractional coordinates):
Ta  0.000  0.000  0.000  -0.04
N  0.000  0.500  0.000  0.25
N  0.500  0.000  0.000  0.25
O  0.500  0.500  0.500  0.01
Te  0.000  0.000  0.500  0.02



Entry 5:
Here is a relaxed TaTeN2O crystal from Alexandria. Energies are from GGA-PBE.

## Properties
ρ: 9.1 g/cm3
spin magnetization: 0.00 μB/f.u.
uncorrected formation energy: 8.22 eV/f.u.
Fermi-level density of states: 0.3073 states/eV/atom

a b c (Å): 4.008 4.008 4.018
angles (deg): 90.00 90.00 90.00
Atoms (fractional coordinates):
Te  0.000  0.000  0.500
O  0.000  0.000  0.000
N  0.500  0.000  0.000
N  0.000  0.500  0.000
Ta  0.500  0.500  0.500



Entry 6:
Here is a relaxed TaTeNO2 crystal from Alexandria. Energies are from GGA-PBE.

## Properties
ρ: 8.3 g/cm3
spin magnetization: 2.57 μB/f.u.
uncorrected formation energy: 3.41 eV/f.u.
Fermi-level density of states: 0.6494 states/eV/atom

a b c (Å): 4.059 4.059 4.290
angles (deg): 90.00 90.00 90.00
Site moments in Bohr magnetons follow the coordinates.
Atoms (fractional coordinates):
Te  0.000  0.000  0.000  0.02
N  0.000  0.000  0.500  -0.07
O  0.000  0.500  0.000  0.00
O  0.500  0.000  0.000  0.00
Ta  0.500  0.500  0.500  1.90



Entry 7:
Here is a relaxed TaTeNO2 crystal from Alexandria. Energies are from GGA-PBE.

## Properties
ρ: 8.6 g/cm3
spin magnetization: 0.00 μB/f.u.
uncorrected formation energy: -4.58 eV/f.u.
Fermi-level density of states: 0.4574 states/eV/atom

a b c (Å): 3.968 3.968 4.337
angles (deg): 90.00 90.00 90.00
Atoms (fractional coordinates):
Ta  0.000  0.000  0.000
Te  0.500  0.500  0.500
O  0.000  0.500  0.000
O  0.500  0.000  0.000
N  0.000  0.000  0.500



Entry 8:
Here is a relaxed TaTlNO2 crystal from Alexandria. Energies are from GGA-PBE.

## Properties
ρ: 10.5 g/cm3
spin magnetization: 0.00 μB/f.u.
uncorrected formation energy: -6.65 eV/f.u.
Fermi-level density of states: 0.1854 states/eV/atom

a b c (Å): 3.981 3.981 4.317
angles (deg): 90.00 90.00 90.00
Atoms (fractional coordinates):
Ta  0.000  0.000  0.000
O  0.000  0.500  0.000
O  0.500  0.000  0.000
N  0.000  0.000  0.500
Tl  0.500  0.500  0.500



Entry 9:
Here is a relaxed TaTlNO2 crystal from Alexandria. Energies are from GGA-PBE.

## Properties
ρ: 9.8 g/cm3
spin magnetization: 1.49 μB/f.u.
uncorrected formation energy: 5.52 eV/f.u.
Fermi-level density of states: 0.9676 states/eV/atom

a b c (Å): 4.156 4.156 4.246
angles (deg): 90.00 90.00 90.00
Site moments in Bohr magnetons follow the coordinates.
Atoms (fractional coordinates):
N  0.000  0.000  0.500  -0.21
O  0.500  0.000  0.000  -0.08
O  0.000  0.500  0.000  -0.08
Ta  0.500  0.500  0.500  1.47
Tl  0.000  0.000  0.000  -0.01